# 1
The following is a GGA-PBE calculation of a geometry-optimized Zr2AlCr structure, from the Alexandria database.

Values from the calculation:
Crystal system: orthorhombic
VASP energy, eV for the cell shown: -61.2
E_form, eV per atom: -0.03

```
data_Zr2AlCr
_space_group_name_H-M_alt 'I m m 2'
_space_group_IT_number 44
_cell_length_a 3.185
_cell_length_b 4.819
_cell_length_c 9.813
_cell_angle_alpha 90.00
_cell_angle_beta 90.00
_cell_angle_gamma 90.00
loop_
_space_group_symop_operation_xyz
'x,y,z'
'-x,-y,z'
'-x,y,z'
'x,-y,z'
'x+1/2,y+1/2,z+1/2'
'-x+1/2,-y+1/2,z+1/2'
'-x+1/2,y+1/2,z+1/2'
'x+1/2,-y+1/2,z+1/2'
loop_
_atom_site_label
_atom_site_fract_x
_atom_site_fract_y
_atom_site_fract_z
Zr1 0.000 0.000 0.000
Zr2 0.000 0.500 0.222
Al1 0.000 0.500 0.774
Cr1 0.000 0.000 0.490
```

# 2
The following is a GGA-PBE calculation of a geometry-optimized Zr2Al2Cr structure, from the Alexandria database.

Values from the calculation:
Crystal system: tetragonal
VASP energy, eV for the cell shown: -69.6
E_form, eV per atom: -0.12

```
data_Zr2Al2Cr
_space_group_name_H-M_alt 'P 4/m b m'
_space_group_IT_number 127
_space_group_name_Hall '-P 4 2ab'
_cell_length_a 6.887
_cell_length_b 6.887
_cell_length_c 3.863
_cell_angle_alpha 90.00
_cell_angle_beta 90.00
_cell_angle_gamma 90.00
loop_
_atom_site_label
_atom_site_fract_x
_atom_site_fract_y
_atom_site_fract_z
Zr1 0.174 0.326 0.000
Al1 0.131 0.631 0.500
Cr1 0.000 0.000 0.500
```

# 3
The following is a GGA-PBE calculation of a geometry-optimized ZrAl3Cr structure, from the Alexandria database.

Values from the calculation:
Crystal system: cubic
VASP energy, eV for the cell shown: -28.1
Excess energy over the best structure of this formula in the dataset, meV per atom: 0
E_form, eV per atom: 0.26

```
data_ZrAl3Cr
_space_group_name_H-M_alt 'P m -3 m'
_space_group_IT_number 221
_space_group_name_Hall '-P 4 2 3'
_cell_length_a 4.518
_cell_length_b 4.518
_cell_length_c 4.518
_cell_angle_alpha 90.00
_cell_angle_beta 90.00
_cell_angle_gamma 90.00
loop_
_atom_site_label
_atom_site_fract_x
_atom_site_fract_y
_atom_site_fract_z
Zr1 0.000 0.000 0.000
Al1 0.000 0.500 0.500
Cr1 0.500 0.500 0.500
```

# 4
The following is a GGA-PBE calculation of a geometry-optimized ZrAl2Cr structure, from the Alexandria database.

Values from the calculation:
Crystal system: trigonal
VASP energy, eV for the cell shown: -76.2
E_form, eV per atom: 0.06

```
data_ZrAl2Cr
_space_group_name_H-M_alt 'R -3 m'
_space_group_IT_number 166
_space_group_name_Hall '-R 3 2"'
_cell_length_a 2.9125
_cell_length_b 2.9125
_cell_length_c 27.7483
_cell_angle_alpha 90.00
_cell_angle_beta 90.00
_cell_angle_gamma 120.00
loop_
_atom_site_label
_atom_site_fract_x
_atom_site_fract_y
_atom_site_fract_z
Zr1 0.0000 0.0000 0.0000
Al1 0.0000 0.0000 0.2403
Cr1 0.0000 0.0000 0.5000
```

# 5
The following is a GGA-PBE calculation of a geometry-optimized ZrAl2Cr structure, from the Alexandria database.

Values from the calculation:
Crystal system: tetragonal
VASP energy, eV for the cell shown: -52.4
E_form, eV per atom: -0.13

```
data_ZrAl2Cr
_space_group_name_H-M_alt 'I -4 m 2'
_space_group_IT_number 119
_space_group_name_Hall 'I -4 -2'
_cell_length_a 4.033
_cell_length_b 4.033
_cell_length_c 8.380
_cell_angle_alpha 90.00
_cell_angle_beta 90.00
_cell_angle_gamma 90.00
loop_
_atom_site_label
_atom_site_fract_x
_atom_site_fract_y
_atom_site_fract_z
Zr1 0.000 0.000 0.000
Al1 0.000 0.000 0.500
Al2 0.000 0.500 0.250
Cr1 0.000 0.500 0.750
```

# 6
The following is a GGA-PBE calculation of a geometry-optimized ZrAl2Cr2 structure, from the Alexandria database.

Values from the calculation:
Crystal system: tetragonal
VASP energy, eV for the cell shown: -70.7
Excess energy over the best structure of this formula in the dataset, meV per atom: 0
E_form, eV per atom: -0.02

```
data_ZrAl2Cr2
_space_group_name_H-M_alt 'P 4/m b m'
_space_group_IT_number 127
_space_group_name_Hall '-P 4 2ab'
_cell_length_a 7.360
_cell_length_b 7.360
_cell_length_c 2.952
_cell_angle_alpha 90.00
_cell_angle_beta 90.00
_cell_angle_gamma 90.00
loop_
_atom_site_label
_atom_site_fract_x
_atom_site_fract_y
_atom_site_fract_z
Zr1 0.000 0.000 0.000
Al1 0.125 0.375 0.000
Cr1 0.173 0.673 0.500
```